# 1
! PBE LaFeBr, optimized geometry; values from VASP
&SYSTEM
  ibrav = 0, nat = 3, ntyp = 3
/
ATOMIC_SPECIES
Fe 55.84 Fe.upf
La 138.91 La.upf
Br 79.90 Br.upf
CELL_PARAMETERS angstrom
5.0301 0.0000 0.0000
2.5151 4.3562 0.0000
2.5151 1.4521 4.1071
ATOMIC_POSITIONS angstrom
Fe 5.0301 2.9041 2.0535
La 7.5452 4.3562 3.0803
Br 0.0000 0.0000 0.0000
! - crystal system = cubic
! - final energy (eV/atom) = -4.87

# 2
! PBE ErNpSe2, optimized geometry; values from VASP
&SYSTEM
  ibrav = 0, nat = 4, ntyp = 3
/
ATOMIC_SPECIES
Er 167.26 Er.upf
Se 78.96 Se.upf
Np 237.00 Np.upf
CELL_PARAMETERS angstrom
3.9127 0.0000 0.0000
1.9564 3.3885 0.0000
1.9564 1.1295 7.2880
ATOMIC_POSITIONS angstrom
Er 5.8690 3.3885 7.2197
Se 1.9564 1.1295 5.5539
Se 1.9564 1.1295 1.7246
Np 3.9127 2.2590 3.7217
! - relative energy among the computed polymorphs (eV/atom) = 0.0631
! - crystal system = trigonal
! - final energy (eV/atom) = -7.45

# 3
! PBE BiAs2Br, optimized geometry; values from VASP
&SYSTEM
  ibrav = 0, nat = 8, ntyp = 3
/
ATOMIC_SPECIES
As 74.92 As.upf
Br 79.90 Br.upf
Bi 208.98 Bi.upf
CELL_PARAMETERS angstrom
-2.4515 2.1945 6.6709
-2.5025 -6.8748 1.3420
1.5456 -3.4449 5.8481
ATOMIC_POSITIONS angstrom
As -1.4838 -0.3264 5.8678
As -0.6727 -4.2679 7.3771
As -3.2013 -6.7498 11.4112
As -1.4588 -4.9063 3.0659
Br -2.4770 -2.3401 4.0064
Br -1.7169 -6.3299 5.5983
Bi 0.0000 0.0000 0.0000
Bi -1.6914 -1.7953 8.2627
! - relative energy among the computed polymorphs (eV/atom) = 0.0000
! - crystal system = tetragonal
! - final energy (eV/atom) = -3.32

# 4
! PBE Zn2AsPd2, optimized geometry; values from VASP
&SYSTEM
  ibrav = 0, nat = 10, ntyp = 3
/
ATOMIC_SPECIES
Pd 106.42 Pd.upf
Zn 65.41 Zn.upf
As 74.92 As.upf
CELL_PARAMETERS angstrom
-0.4561 7.3307 -0.2475
-6.6849 -0.3134 3.0367
1.2121 0.1661 2.6854
ATOMIC_POSITIONS angstrom
Pd -1.2685 4.6877 0.2826
Pd -4.7061 6.0603 1.7493
Pd -2.4350 0.9570 1.0399
Pd -5.8726 2.3295 2.5066
Zn -0.5615 2.5955 1.7143
Zn -5.3675 4.5879 3.7603
Zn -2.1155 6.1986 2.1928
Zn -3.8135 0.9847 3.2817
As 0.0000 0.0000 0.0000
As -3.5705 3.5086 1.3946
! - relative energy among the computed polymorphs (eV/atom) = 0.0000
! - crystal system = tetragonal
! - energy relative to the elements (eV per atom) = -0.290
! - final energy (eV/atom) = -3.81

# 5
! PBE Na3Hg7Sb2, optimized geometry; values from VASP
&SYSTEM
  ibrav = 0, nat = 12, ntyp = 3
/
ATOMIC_SPECIES
Na 22.99 Na.upf
Hg 200.59 Hg.upf
Sb 121.76 Sb.upf
CELL_PARAMETERS angstrom
4.7612 -3.3022 -1.7243
-2.2266 8.7120 0.1263
-3.7138 -0.5481 11.5527
ATOMIC_POSITIONS angstrom
Na 1.2856 2.7101 2.9713
Na -2.4647 2.1516 6.9835
Na 1.2673 2.7049 -0.7990
Hg -4.4630 5.1699 10.5874
Hg -0.1019 5.8558 2.1976
Hg 3.2839 -0.3082 -0.6327
Hg 0.0000 0.0000 0.0000
Hg -1.0772 -0.9941 7.7572
Hg -1.3278 3.6947 4.2626
Hg 0.1486 1.1670 5.6921
Sb -1.3501 5.3087 7.2102
Sb 0.1710 -0.4470 2.7446
! - crystal system = triclinic
! - final energy (eV/atom) = -1.33

# 6
! PBE KBaZrCu2, optimized geometry; values from VASP
&SYSTEM
  ibrav = 0, nat = 5, ntyp = 4
/
ATOMIC_SPECIES
Ba 137.33 Ba.upf
Cu 63.55 Cu.upf
Zr 91.22 Zr.upf
K 39.10 K.upf
CELL_PARAMETERS angstrom
5.4232 0.0000 0.0000
0.0000 5.8248 0.0000
0.0000 0.0000 5.4232
ATOMIC_POSITIONS angstrom
Ba 0.0000 0.0000 0.0000
Cu 2.7116 0.0000 0.0000
Cu 0.0000 0.0000 2.7116
Zr 2.7116 2.9124 2.7116
K 0.0000 2.9124 0.0000
! - crystal system = tetragonal
! - energy relative to the elements (eV per atom) = 1.504
! - final energy (eV/atom) = -2.45

# 7
! PBE Tb2SiIr, optimized geometry; values from VASP
&SYSTEM
  ibrav = 0, nat = 8, ntyp = 3
/
ATOMIC_SPECIES
Tb 158.93 Tb.upf
Ir 192.22 Ir.upf
Si 28.09 Si.upf
CELL_PARAMETERS angstrom
4.1762 0.0000 0.0000
0.0000 5.6274 -0.1082
0.0000 -2.9494 7.6671
ATOMIC_POSITIONS angstrom
Tb 1.0440 2.6713 4.4035
Tb 1.0440 4.2516 0.3960
Tb 3.1321 0.0067 3.1554
Tb 3.1321 -1.5736 7.1629
Ir 1.0440 1.4894 1.6449
Ir 3.1321 1.1886 5.9140
Si 1.0440 -0.1151 5.4081
Si 3.1321 2.7931 2.1508
! - crystal system = monoclinic
! - final energy (eV/atom) = -6.73

# 8
! PBE Zn2SiMo, optimized geometry; values from VASP
&SYSTEM
  ibrav = 0, nat = 4, ntyp = 3
/
ATOMIC_SPECIES
Zn 65.41 Zn.upf
Si 28.09 Si.upf
Mo 95.94 Mo.upf
CELL_PARAMETERS angstrom
-1.7099 3.8271 -0.8453
-0.3273 -0.7120 -2.5615
-4.6250 -1.8271 1.0832
ATOMIC_POSITIONS angstrom
Zn -0.3662 -0.7240 -2.5371
Zn -1.9930 1.4610 -0.1698
Si -4.2159 0.5852 0.3617
Mo -2.5633 -1.3037 -0.7177
! - crystal system = monoclinic
! - final energy (eV/atom) = -4.69